1.
# KY2Cr

A geometry-optimized KY2Cr structure (PBE, Alexandria via LeMat-Bulk).

Cell: 5.505 5.505 5.505 Å, 60.00 60.00 60.00°
Element x y z (fractional)
K 0.000 0.000 0.000
Y 0.250 0.250 0.250
Y 0.750 0.750 0.750
Cr 0.500 0.500 0.500

## Properties
Its formation enthalpy at 0 K is 2.8 eV/f.u. For the total energy, the calculation gives -5.2028 eV/atom. The distance to the lowest polymorph of the same formula comes out at 0.347 eV/atom.

=====

2.
# BaZnHg2Ge

A geometry-optimized BaZnHg2Ge structure (PBE, Alexandria via LeMat-Bulk).

Cell: 5.429 5.429 5.178 Å, 90.00 90.00 90.00°
Element x y z (fractional)
Ba 0.000 0.000 0.000
Zn 0.500 0.500 0.000
Hg 0.000 0.500 0.500
Hg 0.500 0.000 0.500
Ge 0.500 0.500 0.500

## Properties
Its formation enthalpy at 0 K is -0.5 eV/f.u. For the total energy, the calculation gives -1.7744 eV/atom.

=====

3.
# SrTlPS2

A geometry-optimized SrTlPS2 structure (PBE, Alexandria via LeMat-Bulk).

Cell: 5.266 5.266 5.026 Å, 90.00 90.00 90.00°
Element x y z (fractional)
Sr 0.000 0.000 0.000
Tl 0.500 0.500 0.500
P 0.500 0.500 0.000
S 0.000 0.500 0.500
S 0.500 0.000 0.500

## Properties
For the total energy, the calculation gives -3.6013 eV/atom. The distance to the lowest polymorph of the same formula comes out at 0.000 eV/atom. As for the formation energy from raw total energies: -0.0588 eV/atom.

=====

4.
# LiCa2TlPt

A geometry-optimized LiCa2TlPt structure (PBE, Alexandria via LeMat-Bulk).

Cell: 5.537 5.537 4.803 Å, 90.00 90.00 90.00°
Element x y z (fractional)
Li 0.000 0.000 0.000
Ca 0.000 0.500 0.500
Ca 0.500 0.000 0.500
Tl 0.500 0.500 0.000
Pt 0.000 0.000 0.500

## Properties
Its formation enthalpy at 0 K is -2.1 eV/f.u. For the total energy, the calculation gives -3.2775 eV/atom.

=====

5.
# HoIn3Hg6

A geometry-optimized HoIn3Hg6 structure (PBE, Alexandria via LeMat-Bulk).

Cell: 8.502 8.502 8.502 Å, 105.69 105.69 105.69°
Element x y z (fractional)
Ho 0.000 0.000 0.000
Ho 0.500 0.500 0.500
In 0.087 0.412 0.251
In 0.251 0.087 0.412
In 0.412 0.251 0.087
In 0.588 0.749 0.913
In 0.749 0.913 0.588
In 0.913 0.588 0.749
Hg 0.036 0.307 0.858
Hg 0.142 0.964 0.693
Hg 0.195 0.464 0.644
Hg 0.307 0.858 0.036
Hg 0.356 0.805 0.536
Hg 0.464 0.644 0.195
Hg 0.536 0.356 0.805
Hg 0.644 0.195 0.464
Hg 0.693 0.142 0.964
Hg 0.805 0.536 0.356
Hg 0.858 0.036 0.307
Hg 0.964 0.693 0.142

## Properties
Its formation enthalpy at 0 K is -1.1 eV/f.u. For the total energy, the calculation gives -1.5680 eV/atom. The distance to the lowest polymorph of the same formula comes out at 0.000 eV/atom.

=====

6.
# Mn2AlW

A geometry-optimized Mn2AlW structure (PBE, Alexandria via LeMat-Bulk).

Cell: 2.990 2.990 5.804 Å, 90.00 90.00 90.00°
Element x y z (fractional)
Mn 0.000 0.000 0.248
Mn 0.000 0.000 0.752
Al 0.500 0.500 0.500
W 0.500 0.500 0.000

## Properties
Its formation enthalpy at 0 K is -0.6 eV/f.u. For the total energy, the calculation gives -8.9140 eV/atom.

=====

7.
# TlCd4Sn4

A geometry-optimized TlCd4Sn4 structure (PBE, Alexandria via LeMat-Bulk).

Cell: 7.235 7.235 7.235 Å, 97.37 97.37 138.03°
Element x y z (fractional)
Tl 0.000 0.000 0.000
Cd 0.000 0.343 0.343
Cd 0.000 0.657 0.657
Cd 0.343 0.000 0.343
Cd 0.657 0.000 0.657
Sn 0.328 0.328 0.656
Sn 0.328 0.672 0.000
Sn 0.672 0.328 0.000
Sn 0.672 0.672 0.344

## Properties
Its formation enthalpy at 0 K is 0.6 eV/f.u. For the total energy, the calculation gives -2.3871 eV/atom. The distance to the lowest polymorph of the same formula comes out at 0.000 eV/atom.

=====

8.
# CeGdTlBi

A geometry-optimized CeGdTlBi structure (PBE, Alexandria via LeMat-Bulk).

Cell: 5.513 5.513 5.513 Å, 60.00 60.00 60.00°
Element x y z (fractional)
Ce 0.000 0.000 0.000
Gd 0.500 0.500 0.500
Tl 0.250 0.250 0.250
Bi 0.750 0.750 0.750

## Properties
Its formation enthalpy at 0 K is -1.7 eV/f.u. For the total energy, the calculation gives -7.0019 eV/atom.

=====

9.
# Yb6Ta4Al43

A geometry-optimized Yb6Ta4Al43 structure (PBE, Alexandria via LeMat-Bulk).

Cell: 11.142 11.142 17.807 Å, 90.00 90.00 120.00°
Element x y z (fractional)
Yb 0.000 0.470 0.095
Yb 0.000 0.470 0.405
Yb 0.000 0.530 0.595
Yb 0.000 0.530 0.905
Yb 0.470 0.000 0.095
Yb 0.470 0.000 0.405
Yb 0.470 0.470 0.595
Yb 0.470 0.470 0.905
Yb 0.530 0.000 0.595
Yb 0.530 0.000 0.905
Yb 0.530 0.530 0.095
Yb 0.530 0.530 0.405
Ta 0.000 0.000 0.000
Ta 0.000 0.000 0.500
Ta 0.000 0.272 0.250
Ta 0.000 0.728 0.750
Ta 0.272 0.000 0.250
Ta 0.272 0.272 0.750
Ta 0.728 0.000 0.750
Ta 0.728 0.728 0.250
Al 0.000 0.149 0.750
Al 0.000 0.159 0.115
Al 0.000 0.159 0.385
Al 0.000 0.255 0.531
Al 0.000 0.255 0.969
Al 0.000 0.745 0.031
Al 0.000 0.745 0.469
Al 0.000 0.841 0.615
Al 0.000 0.841 0.885
Al 0.000 0.851 0.250
Al 0.149 0.000 0.750
Al 0.149 0.149 0.250
Al 0.150 0.554 0.250
Al 0.150 0.596 0.750
Al 0.159 0.000 0.115
Al 0.159 0.000 0.385
Al 0.159 0.159 0.615
Al 0.159 0.159 0.885
Al 0.159 0.396 0.663
Al 0.159 0.396 0.837
Al 0.159 0.763 0.163
Al 0.159 0.763 0.337
Al 0.237 0.396 0.163
Al 0.237 0.396 0.337
Al 0.237 0.841 0.663
Al 0.237 0.841 0.837
Al 0.247 0.494 0.000
Al 0.247 0.494 0.500
Al 0.247 0.753 0.000
Al 0.247 0.753 0.500
Al 0.255 0.000 0.531
Al 0.255 0.000 0.969
Al 0.255 0.255 0.031
Al 0.255 0.255 0.469
Al 0.333 0.667 0.125
Al 0.333 0.667 0.375
Al 0.333 0.667 0.625
Al 0.333 0.667 0.875
Al 0.396 0.159 0.663
Al 0.396 0.159 0.837
Al 0.396 0.237 0.163
Al 0.396 0.237 0.337
Al 0.404 0.554 0.750
Al 0.404 0.850 0.250
Al 0.446 0.596 0.250
Al 0.446 0.850 0.750
Al 0.494 0.247 0.000
Al 0.494 0.247 0.500
Al 0.506 0.753 0.000
Al 0.506 0.753 0.500
Al 0.554 0.150 0.250
Al 0.554 0.404 0.750
Al 0.596 0.150 0.750
Al 0.596 0.446 0.250
Al 0.604 0.763 0.663
Al 0.604 0.763 0.837
Al 0.604 0.841 0.163
Al 0.604 0.841 0.337
Al 0.667 0.333 0.125
Al 0.667 0.333 0.375
Al 0.667 0.333 0.625
Al 0.667 0.333 0.875
Al 0.745 0.000 0.031
Al 0.745 0.000 0.469
Al 0.745 0.745 0.531
Al 0.745 0.745 0.969
Al 0.753 0.247 0.000
Al 0.753 0.247 0.500
Al 0.753 0.506 0.000
Al 0.753 0.506 0.500
Al 0.763 0.159 0.163
Al 0.763 0.159 0.337
Al 0.763 0.604 0.663
Al 0.763 0.604 0.837
Al 0.841 0.000 0.615
Al 0.841 0.000 0.885
Al 0.841 0.237 0.663
Al 0.841 0.237 0.837
Al 0.841 0.604 0.163
Al 0.841 0.604 0.337
Al 0.841 0.841 0.115
Al 0.841 0.841 0.385
Al 0.850 0.404 0.250
Al 0.850 0.446 0.750
Al 0.851 0.000 0.250
Al 0.851 0.851 0.750

## Properties
Its formation enthalpy at 0 K is -15.1 eV/f.u. For the total energy, the calculation gives -4.3885 eV/atom.

=====

10.
# MgScTa2

A geometry-optimized MgScTa2 structure (PBE, Alexandria via LeMat-Bulk).

Cell: 5.119 5.119 5.628 Å, 95.55 95.55 33.09°
Element x y z (fractional)
Mg 0.000 0.000 0.000
Sc 0.756 0.756 0.256
Ta 0.254 0.254 0.726
Ta 0.511 0.511 0.527

## Properties
Its formation enthalpy at 0 K is 1.0 eV/f.u. For the total energy, the calculation gives -7.6626 eV/atom.

=====

11.
# KLi2CdFe

A geometry-optimized KLi2CdFe structure (PBE, Alexandria via LeMat-Bulk).

Cell: 5.196 5.196 6.172 Å, 90.00 90.00 90.00°
Element x y z (fractional)
K 0.000 0.000 0.000
Li 0.000 0.500 0.500
Li 0.500 0.000 0.500
Cd 0.000 0.000 0.500
Fe 0.500 0.500 0.000

## Properties
Its formation enthalpy at 0 K is 4.4 eV/f.u. For the total energy, the calculation gives -1.9734 eV/atom.

=====

12.
# Ho4Tm4Tl

A geometry-optimized Ho4Tm4Tl structure (PBE, Alexandria via LeMat-Bulk).

Cell: 7.808 7.808 7.808 Å, 95.53 95.53 143.84°
Element x y z (fractional)
Ho 0.163 0.163 0.326
Ho 0.163 0.837 0.000
Ho 0.837 0.163 0.000
Ho 0.837 0.837 0.674
Tm 0.164 0.500 0.664
Tm 0.500 0.164 0.664
Tm 0.500 0.836 0.336
Tm 0.836 0.500 0.336
Tl 0.500 0.500 0.000

## Properties
Its formation enthalpy at 0 K is -0.3 eV/f.u. For the total energy, the calculation gives -4.3207 eV/atom.

=====

What is the formula in the seventh record?
TlCd4Sn4